Entry 1:
DFT (GGA-PBE) results for a geometry-optimized TbZrNO structure.

Values from the calculation:
distance to the lowest polymorph of the same formula	27.29	kJ per mole of atoms

Geometry as CIF:
```
data_TbZrNO
_cell_length_a 4.434
_cell_length_b 4.434
_cell_length_c 6.150
_cell_angle_alpha 90.00
_cell_angle_beta 90.00
_cell_angle_gamma 90.00
_symmetry_space_group_name_H-M 'P 4/n m m'
_symmetry_Int_Tables_number 129
loop_
_symmetry_equiv_pos_as_xyz
'x,y,z'
'-x,-y,-z'
'-y+1/2,x,z'
'y+1/2,-x,-z'
'-x+1/2,-y+1/2,z'
'x+1/2,y+1/2,-z'
'y,-x+1/2,z'
'-y,x+1/2,-z'
'x+1/2,-y,-z'
'-x+1/2,y,z'
'-y,-x,-z'
'y,x,z'
'-x,y+1/2,-z'
'x,-y+1/2,z'
'y+1/2,x+1/2,-z'
'-y+1/2,-x+1/2,z'
loop_
_atom_site_label
_atom_site_fract_x
_atom_site_fract_y
_atom_site_fract_z
Tb1 0.250 0.750 0.000
Zr1 0.250 0.250 0.454
N1 0.250 0.250 0.125
O1 0.250 0.750 0.500
```


Entry 2:
DFT (GGA-PBE) results for a geometry-optimized TbZrNO structure.

Values from the calculation:
distance to the lowest polymorph of the same formula	16.71	kJ per mole of atoms

Geometry as CIF:
```
data_TbZrNO
_cell_length_a 4.192
_cell_length_b 4.192
_cell_length_c 8.107
_cell_angle_alpha 90.00
_cell_angle_beta 90.00
_cell_angle_gamma 90.00
_symmetry_space_group_name_H-M 'P 4/n m m'
_symmetry_Int_Tables_number 129
loop_
_symmetry_equiv_pos_as_xyz
'x,y,z'
'-x,-y,-z'
'-y+1/2,x,z'
'y+1/2,-x,-z'
'-x+1/2,-y+1/2,z'
'x+1/2,y+1/2,-z'
'y,-x+1/2,z'
'-y,x+1/2,-z'
'x+1/2,-y,-z'
'-x+1/2,y,z'
'-y,-x,-z'
'y,x,z'
'-x,y+1/2,-z'
'x,-y+1/2,z'
'y+1/2,x+1/2,-z'
'-y+1/2,-x+1/2,z'
loop_
_atom_site_label
_atom_site_fract_x
_atom_site_fract_y
_atom_site_fract_z
Tb1 0.250 0.250 0.115
Zr1 0.250 0.750 0.500
N1 0.250 0.250 0.570
O1 0.250 0.750 0.000
```


Entry 3:
DFT (GGA-PBE) results for a geometry-optimized TbZrNO structure.

Values from the calculation:
distance to the lowest polymorph of the same formula	13.54	kJ per mole of atoms

Geometry as CIF:
```
data_TbZrNO
_cell_length_a 7.991
_cell_length_b 6.441
_cell_length_c 4.800
_cell_angle_alpha 90.00
_cell_angle_beta 90.00
_cell_angle_gamma 90.00
_symmetry_space_group_name_H-M 'P b c m'
_symmetry_Int_Tables_number 57
_symmetry_space_group_name_Hall '-P 2c 2b'
loop_
_atom_site_label
_atom_site_fract_x
_atom_site_fract_y
_atom_site_fract_z
Tb1 0.135 0.079 0.250
Zr1 0.390 0.559 0.250
N1 0.135 0.055 0.750
O1 0.368 0.609 0.750
```


Number 1: total magnetization 0.0 Bohr magnetons per cell, E_tot -8.438 eV/atom. Number 2: total magnetization 0.0 Bohr magnetons per cell, E_tot -8.548 eV/atom. Number 3: total magnetization 0.0 Bohr magnetons per cell, E_tot -8.581 eV/atom.